DFT (PBE) results for a relaxed CeCdSb crystal.

Computed properties:
V   168.5 Å³/cell
Formation energy (no corrections)   -0.377 eV per atom
ΔE to the lowest computed polymorph   88.3 meV/atom
E_tot   -4.03 eV/atom

Cell lengths 4.1887, 4.1887, 9.6016 Å; angles 90.00, 90.00, 90.00 degrees
Space group I4mm (No. 107)
Inequivalent atoms, fractional coordinates:
Ce (0.0000, 0.0000, 0.0000) (multiplicity 2)
Cd (0.0000, 0.0000, 0.3273) (multiplicity 2)
Sb (0.0000, 0.0000, 0.6526) (multiplicity 2)

***

DFT (PBE) results for a relaxed Cu5Hg3Cl12 crystal.

Computed properties:
V   3689.6 Å³/cell
Formation energy (no corrections)   -0.452 eV per atom
E_tot   -2.63 eV/atom

Cell lengths 15.4523, 15.4523, 15.4523 Å; angles 90.00, 90.00, 90.00 degrees
Space group Ia-3d (No. 230)
Inequivalent atoms, fractional coordinates:
Cu (0.0000, 0.0000, 0.0000) (multiplicity 16)
Cu (0.0000, 0.2500, 0.3750) (multiplicity 24)
Hg (0.0000, 0.2500, 0.1250) (multiplicity 24)
Cl (0.0224, 0.0436, 0.6533) (multiplicity 96)

***

DFT (PBE) results for a relaxed Ho2Fe3Co crystal.

Computed properties:
V   285.3 Å³/cell
Calculated formation energy   -0.16 eV/atom
E_tot   -7.10 eV/atom

Cell lengths 5.1265, 5.1265, 12.5310 Å; angles 90.00, 90.00, 120.00 degrees
Space group R-3m (No. 166, hexagonal axes)
Inequivalent atoms, fractional coordinates:
Ho (0.0000, 0.0000, 0.1254) (multiplicity 6)
Fe (0.0000, 0.5000, 0.0000) (multiplicity 9)
Co (0.0000, 0.0000, 0.5000) (multiplicity 3)

***

DFT (PBE) results for a relaxed Nd2SiGe3Pd4 crystal.

Computed properties:
V   189.8 Å³/cell
Formation energy (no corrections)   -0.831 eV per atom
E_tot   -5.79 eV/atom

Cell lengths 4.3429, 4.3429, 10.0653 Å; angles 90.00, 90.00, 90.00 degrees
Space group P-4m2 (No. 115)
Inequivalent atoms, fractional coordinates:
Nd (0.0000, 0.5000, 0.2450) (multiplicity 2)
Si (0.5000, 0.5000, 0.0000) (multiplicity 1)
Ge (0.0000, 0.0000, 0.0000) (multiplicity 1)
Ge (0.0000, 0.5000, 0.6320) (multiplicity 2)
Pd (0.0000, 0.0000, 0.5000) (multiplicity 1)
Pd (0.0000, 0.5000, 0.8798) (multiplicity 2)
Pd (0.5000, 0.5000, 0.5000) (multiplicity 1)

***

DFT (PBE) results for a relaxed Ce2YVN5 crystal.

Computed properties:
V   502.5 Å³/cell
Formation energy (no corrections)   -1.295 eV per atom
E_tot   -8.97 eV/atom

Cell lengths 3.4142, 13.8953, 10.5924 Å; angles 90.00, 90.00, 90.00 degrees
Space group Cmc2_1 (No. 36)
Inequivalent atoms, fractional coordinates:
Ce (0.0000, 0.1207, 0.0000) (multiplicity 4)
Ce (0.0000, 0.1449, 0.5858) (multiplicity 4)
Y (0.0000, 0.2053, 0.2988) (multiplicity 4)
V (0.0000, 0.4982, 0.2692) (multiplicity 4)
N (0.0000, 0.0354, 0.3354) (multiplicity 4)
N (0.0000, 0.2878, 0.9592) (multiplicity 4)
N (0.0000, 0.3059, 0.6468) (multiplicity 4)
N (0.0000, 0.3731, 0.3131) (multiplicity 4)
N (0.0000, 0.4893, 0.1005) (multiplicity 4)

***

DFT (PBE) results for a relaxed Sc2TaRe crystal.

Computed properties:
V   74.5 Å³/cell
Calculated formation energy   0.10 eV/atom
ΔE to the lowest computed polymorph   215.7 meV/atom
E_tot   -9.14 eV/atom

Cell lengths 3.9485, 3.9485, 4.7760 Å; angles 90.00, 90.00, 90.00 degrees
Space group P4/mmm (No. 123)
Inequivalent atoms, fractional coordinates:
Sc (0.0000, 0.5000, 0.0000) (multiplicity 2)
Ta (0.0000, 0.0000, 0.5000) (multiplicity 1)
Re (0.5000, 0.5000, 0.5000) (multiplicity 1)